NaMnSi2 | PBE-GGA | relaxed

Cell and atoms, written as CIF:
```
data_NaMnSi2
_symmetry_space_group_name_H-M 'P 1'
_symmetry_Int_Tables_number 1
_cell_length_a 4.968
_cell_length_b 4.968
_cell_length_c 8.375
_cell_angle_alpha 72.74
_cell_angle_beta 72.74
_cell_angle_gamma 90.00
loop_
_symmetry_equiv_pos_as_xyz
'x,y,z'
loop_
_atom_site_label
_atom_site_fract_x
_atom_site_fract_y
_atom_site_fract_z
Na1 0.500 0.500 0.000
Na2 0.250 0.750 0.500
Si1 0.875 0.125 0.250
Si2 0.875 0.625 0.250
Si3 0.375 0.125 0.750
Si4 0.875 0.125 0.750
Mn1 0.000 0.000 0.000
Mn2 0.750 0.250 0.500
```

Its energy is -5.003 eV per atom. Its density of states at the Fermi level is 0.194 states/eV/atom. The value obtained for the polymorph energy (0 for the lowest one) is 0.000 eV/atom.



LaH3Pt | PBE-GGA | relaxed

Cell and atoms, written as CIF:
```
data_LaH3Pt
_symmetry_space_group_name_H-M 'P 1'
_symmetry_Int_Tables_number 1
_cell_length_a 3.912
_cell_length_b 3.912
_cell_length_c 4.221
_cell_angle_alpha 90.00
_cell_angle_beta 90.00
_cell_angle_gamma 90.00
loop_
_symmetry_equiv_pos_as_xyz
'x,y,z'
loop_
_atom_site_label
_atom_site_fract_x
_atom_site_fract_y
_atom_site_fract_z
H1 0.000 0.000 0.464
H2 0.500 0.000 0.607
H3 0.000 0.500 0.607
Pt1 0.500 0.500 0.628
La1 0.000 0.000 0.959
```

Its energy is -4.474 eV per atom. Its density of states at the Fermi level is 0.199 states/eV/atom.



SmMg2CrN4 | PBE-GGA | relaxed

Cell and atoms, written as CIF:
```
data_SmMg2CrN4
_symmetry_space_group_name_H-M 'P 1'
_symmetry_Int_Tables_number 1
_cell_length_a 5.344
_cell_length_b 5.906
_cell_length_c 6.972
_cell_angle_alpha 90.00
_cell_angle_beta 90.00
_cell_angle_gamma 90.00
loop_
_symmetry_equiv_pos_as_xyz
'x,y,z'
loop_
_atom_site_label
_atom_site_fract_x
_atom_site_fract_y
_atom_site_fract_z
Sm1 0.980 0.145 0.500
Sm2 0.480 0.855 0.000
Mg1 0.492 0.340 0.255
Mg2 0.492 0.340 0.745
Mg3 0.992 0.660 0.755
Mg4 0.992 0.660 0.245
Cr1 0.501 0.813 0.500
Cr2 0.001 0.187 0.000
N1 0.333 0.220 0.000
N2 0.833 0.780 0.500
N3 0.441 0.120 0.500
N4 0.941 0.880 0.000
N5 0.381 0.677 0.712
N6 0.881 0.323 0.212
N7 0.881 0.323 0.788
N8 0.381 0.677 0.288
```

Its energy is -7.212 eV per atom. Its density of states at the Fermi level is 0.409 states/eV/atom.



AcTbPm3Nd | PBE-GGA | relaxed

Cell and atoms, written as CIF:
```
data_AcTbPm3Nd
_symmetry_space_group_name_H-M 'P 1'
_symmetry_Int_Tables_number 1
_cell_length_a 5.232
_cell_length_b 8.276
_cell_length_c 11.067
_cell_angle_alpha 116.50
_cell_angle_beta 90.00
_cell_angle_gamma 90.00
loop_
_symmetry_equiv_pos_as_xyz
'x,y,z'
loop_
_atom_site_label
_atom_site_fract_x
_atom_site_fract_y
_atom_site_fract_z
Ac1 0.250 0.125 0.293
Ac2 0.750 0.875 0.707
Tb1 0.250 0.128 0.626
Tb2 0.750 0.872 0.374
Pm1 0.750 0.870 0.040
Pm2 0.250 0.130 0.960
Pm3 0.250 0.626 0.454
Pm4 0.750 0.374 0.546
Pm5 0.750 0.379 0.208
Pm6 0.250 0.621 0.792
Nd1 0.250 0.622 0.125
Nd2 0.750 0.378 0.875
```

Its energy is -4.593 eV per atom. Its density of states at the Fermi level is 1.644 states/eV/atom. The energy of formation from the pure elements comes out at 0.03 eV/atom.



Values for total magnetic moment, μB per atom, ordered as above
0.502 0.000 0.125 0.000